Entry one
# PmCuH

A geometry-optimized PmCuH structure (PBE, Alexandria).

```
PmCuH
1.0
3.915 0.000 0.000
0.000 4.006 0.000
-1.684 0.000 6.264
Pm Cu H
2 2 2
direct
0.165 0.250 0.300 Pm
0.835 0.750 0.700 Pm
0.427 0.250 0.892 Cu
0.573 0.750 0.108 Cu
0.249 0.750 0.498 H
0.751 0.250 0.502 H
```

Computed properties:
The calculation puts the density of states at the Fermi level at 0.4789 states/eV per atom. Its crystal system is monoclinic.


Entry two
# PmCuH

A geometry-optimized PmCuH structure (PBE, Alexandria).

```
PmCuH
1.0
-1.760 1.760 4.377
1.760 -1.760 4.377
1.760 1.760 -4.377
Pm Cu H
1 1 1
direct
0.000 0.000 0.000 Pm
0.322 0.322 0.000 Cu
0.520 0.520 0.000 H
```

Computed properties:
The calculation puts the density of states at the Fermi level at 0.5490 states/eV per atom. Its crystal system is tetragonal.


Verdict on stability: entry two comes out at the bottom.


Entry one
# PmCuSbH

A geometry-optimized PmCuSbH structure (PBE, Alexandria).

```
PmCuSbH
1.0
4.340 0.000 0.000
-2.170 3.758 0.000
0.000 0.000 4.417
Pm Cu Sb H
1 1 1 1
direct
0.000 0.000 0.000 Pm
0.667 0.333 0.595 Cu
0.333 0.667 0.470 Sb
0.667 0.333 0.971 H
```

Computed properties:
The calculation puts the density of states at the Fermi level at 0.0117 states/eV per atom. Its crystal system is trigonal.


Entry two
# PmCuSbH

A geometry-optimized PmCuSbH structure (PBE, Alexandria).

```
PmCuSbH
1.0
0.000 3.290 3.290
3.290 0.000 3.290
3.290 3.290 0.000
Pm Cu Sb H
1 1 1 1
direct
0.000 0.000 0.000 Pm
0.250 0.250 0.250 Cu
0.500 0.500 0.500 Sb
0.750 0.750 0.750 H
```

Computed properties:
The calculation puts the density of states at the Fermi level at 0.0144 states/eV per atom. Its crystal system is cubic.


Verdict on stability: entry two comes out at the bottom.


Entry one
# CuHPt

A geometry-optimized CuHPt structure (PBE, Alexandria).

```
CuHPt
1.0
4.906 -1.416 0.000
4.906 1.416 0.000
-1.049 0.000 4.513
Cu H Pt
2 2 2
direct
0.136 0.136 0.318 Cu
0.864 0.864 0.682 Cu
0.196 0.196 0.723 H
0.804 0.804 0.277 H
0.399 0.399 0.187 Pt
0.601 0.601 0.813 Pt
```

Computed properties:
The calculation puts the density of states at the Fermi level at 0.2529 states/eV per atom. Its crystal system is monoclinic.


Entry two
# CuHPt

A geometry-optimized CuHPt structure (PBE, Alexandria).

```
CuHPt
1.0
0.000 2.549 2.549
2.549 0.000 2.549
2.549 2.549 0.000
Cu H Pt
1 1 1
direct
0.000 0.000 0.000 Cu
0.750 0.750 0.750 H
0.500 0.500 0.500 Pt
```

Computed properties:
The calculation puts the density of states at the Fermi level at 0.5067 states/eV per atom. Its crystal system is cubic.


Entry three
# CuHPt

A geometry-optimized CuHPt structure (PBE, Alexandria).

```
CuHPt
1.0
2.882 0.000 0.000
0.000 5.766 0.000
0.000 0.000 3.741
Cu H Pt
2 2 2
direct
0.000 0.244 0.000 Cu
0.000 0.756 0.000 Cu
0.000 0.500 0.736 H
0.500 0.000 0.986 H
0.500 0.000 0.495 Pt
0.500 0.500 0.465 Pt
```

Computed properties:
The calculation puts the density of states at the Fermi level at 0.1542 states/eV per atom. Its crystal system is orthorhombic.


Verdict on stability: entry two comes out at the bottom.


Entry one
# CuHPt

A geometry-optimized CuHPt structure (PBE, Alexandria).

```
CuHPt
1.0
2.896 0.000 0.000
-1.448 2.508 0.000
0.000 0.000 4.363
Cu H Pt
1 1 1
direct
0.000 0.000 0.000 Cu
0.333 0.667 0.677 H
0.667 0.333 0.482 Pt
```

Computed properties:
The calculation puts the density of states at the Fermi level at 0.5533 states/eV per atom. Its crystal system is trigonal.


Entry two
# CuHPt

A geometry-optimized CuHPt structure (PBE, Alexandria).

```
CuHPt
1.0
2.384 -1.382 0.000
2.384 1.382 0.000
-1.606 0.000 4.811
Cu H Pt
1 1 1
direct
0.000 0.000 0.000 Cu
0.393 0.393 0.177 H
0.517 0.517 0.544 Pt
```

Computed properties:
The calculation puts the density of states at the Fermi level at 0.4018 states/eV per atom. Its crystal system is monoclinic.


Verdict on stability: entry one comes out at the bottom.


Entry one
# CuH2Pt2

A geometry-optimized CuH2Pt2 structure (PBE, Alexandria).

```
CuH2Pt2
1.0
6.129 0.000 0.000
0.000 6.129 0.000
0.000 0.000 2.907
Cu H Pt
2 4 4
direct
0.000 0.000 0.000 Cu
0.500 0.500 0.000 Cu
0.126 0.374 0.000 H
0.374 0.874 0.000 H
0.626 0.126 0.000 H
0.874 0.626 0.000 H
0.235 0.265 0.500 Pt
0.265 0.765 0.500 Pt
0.735 0.235 0.500 Pt
0.765 0.735 0.500 Pt
```

Computed properties:
The calculation puts the density of states at the Fermi level at 0.2118 states/eV per atom. Its crystal system is tetragonal.


Entry two
# CuH2Pt2

A geometry-optimized CuH2Pt2 structure (PBE, Alexandria).

```
CuH2Pt2
1.0
6.490 0.000 0.000
0.000 6.490 0.000
0.000 0.000 2.805
Cu H Pt
2 4 4
direct
0.000 0.000 0.000 Cu
0.500 0.500 0.000 Cu
0.245 0.255 0.500 H
0.255 0.755 0.500 H
0.745 0.245 0.500 H
0.755 0.745 0.500 H
0.145 0.645 0.000 Pt
0.355 0.145 0.000 Pt
0.645 0.855 0.000 Pt
0.855 0.355 0.000 Pt
```

Computed properties:
The calculation puts the density of states at the Fermi level at 0.2814 states/eV per atom. Its crystal system is tetragonal.


Entry three
# CuH2Pt2

A geometry-optimized CuH2Pt2 structure (PBE, Alexandria).

```
CuH2Pt2
1.0
-1.512 1.512 5.530
1.512 -1.512 5.530
1.512 1.512 -5.530
Cu H Pt
1 2 2
direct
0.000 0.000 0.000 Cu
0.250 0.750 0.500 H
0.750 0.250 0.500 H
0.358 0.358 0.000 Pt
0.642 0.642 0.000 Pt
```

Computed properties:
The calculation puts the density of states at the Fermi level at 0.1915 states/eV per atom. Its crystal system is tetragonal.


Verdict on stability: entry two comes out at the bottom.


Entry one
# CuH3Pt

A geometry-optimized CuH3Pt structure (PBE, Alexandria).

```
CuH3Pt
1.0
3.372 0.000 0.000
0.000 3.372 0.000
0.000 0.000 3.372
Cu H Pt
1 3 1
direct
0.000 0.000 0.000 Cu
0.000 0.000 0.500 H
0.000 0.500 0.000 H
0.500 0.000 0.000 H
0.500 0.500 0.500 Pt
```

Computed properties:
The calculation puts the density of states at the Fermi level at 0.0983 states/eV per atom. Its crystal system is cubic.


Entry two
# CuH3Pt

A geometry-optimized CuH3Pt structure (PBE, Alexandria).

```
CuH3Pt
1.0
3.507 0.000 0.000
0.000 3.507 0.000
0.000 0.000 3.507
Cu H Pt
1 3 1
direct
0.000 0.000 0.000 Cu
0.000 0.500 0.500 H
0.500 0.000 0.500 H
0.500 0.500 0.000 H
0.500 0.500 0.500 Pt
```

Computed properties:
The calculation puts the density of states at the Fermi level at 0.1343 states/eV per atom. Its crystal system is cubic.


Verdict on stability: entry one comes out at the bottom.


Entry one
# Cu3HPt

A geometry-optimized Cu3HPt structure (PBE, Alexandria).

```
Cu3HPt
1.0
2.745 0.000 0.000
0.000 6.925 0.000
-1.344 0.000 5.917
Cu H Pt
6 2 2
direct
0.045 0.250 0.088 Cu
0.396 0.050 0.791 Cu
0.396 0.450 0.791 Cu
0.604 0.550 0.209 Cu
0.604 0.950 0.209 Cu
0.955 0.750 0.912 Cu
0.113 0.750 0.234 H
0.887 0.250 0.766 H
0.264 0.750 0.531 Pt
0.736 0.250 0.469 Pt
```

Computed properties:
The calculation puts the density of states at the Fermi level at 0.2971 states/eV per atom. Its crystal system is monoclinic.


Entry two
# Cu3HPt

A geometry-optimized Cu3HPt structure (PBE, Alexandria).

```
Cu3HPt
1.0
3.778 0.000 0.000
0.000 3.778 0.000
0.000 0.000 3.778
Cu H Pt
3 1 1
direct
0.000 0.000 0.500 Cu
0.000 0.500 0.000 Cu
0.500 0.000 0.000 Cu
0.000 0.000 0.000 H
0.500 0.500 0.500 Pt
```

Computed properties:
The calculation puts the density of states at the Fermi level at 0.2371 states/eV per atom. Its crystal system is cubic.


Verdict on stability: entry one comes out at the bottom.


Entry one
# Cu2H2Pt

A geometry-optimized Cu2H2Pt structure (PBE, Alexandria).

```
Cu2H2Pt
1.0
3.707 0.000 0.000
0.000 3.707 0.000
0.000 0.000 3.778
Cu H Pt
2 2 1
direct
0.000 0.500 0.000 Cu
0.500 0.000 0.000 Cu
0.000 0.500 0.500 H
0.500 0.000 0.500 H
0.000 0.000 0.500 Pt
```

Computed properties:
The calculation puts the density of states at the Fermi level at 0.1492 states/eV per atom. Its crystal system is tetragonal.


Entry two
# Cu2H2Pt

A geometry-optimized Cu2H2Pt structure (PBE, Alexandria).

```
Cu2H2Pt
1.0
-1.417 1.417 5.799
1.417 -1.417 5.799
1.417 1.417 -5.799
Cu H Pt
2 2 1
direct
0.157 0.157 0.000 Cu
0.843 0.843 0.000 Cu
0.250 0.750 0.500 H
0.750 0.250 0.500 H
0.500 0.500 0.000 Pt
```

Computed properties:
The calculation puts the density of states at the Fermi level at 0.3503 states/eV per atom. Its crystal system is tetragonal.


Verdict on stability: entry two comes out at the bottom.


Entry one
# CuHPt2Rh

A geometry-optimized CuHPt2Rh structure (PBE, Alexandria).

```
CuHPt2Rh
1.0
3.966 0.000 0.000
0.000 3.966 0.000
0.000 0.000 3.898
Cu H Pt Rh
1 1 2 1
direct
0.000 0.000 0.000 Cu
0.500 0.500 0.500 H
0.000 0.500 0.500 Pt
0.500 0.000 0.500 Pt
0.500 0.500 0.000 Rh
```

Computed properties:
The calculation puts the density of states at the Fermi level at 0.7842 states/eV per atom. Its crystal system is tetragonal.


Entry two
# CuHPt2Rh

A geometry-optimized CuHPt2Rh structure (PBE, Alexandria).

```
CuHPt2Rh
1.0
3.910 0.000 0.000
0.000 3.910 0.000
0.000 0.000 3.994
Cu H Pt Rh
1 1 2 1
direct
0.000 0.000 0.000 Cu
0.000 0.000 0.500 H
0.000 0.500 0.500 Pt
0.500 0.000 0.500 Pt
0.500 0.500 0.000 Rh
```

Computed properties:
The calculation puts the density of states at the Fermi level at 0.7770 states/eV per atom. Its crystal system is tetragonal.


Verdict on stability: entry two comes out at the bottom.


Entry one
# ScCuHPt2

A geometry-optimized ScCuHPt2 structure (PBE, Alexandria).

```
ScCuHPt2
1.0
4.008 0.000 0.000
0.000 4.008 0.000
0.000 0.000 4.080
Sc Cu H Pt
1 1 1 2
direct
0.000 0.000 0.000 Sc
0.500 0.500 0.000 Cu
0.000 0.000 0.500 H
0.000 0.500 0.500 Pt
0.500 0.000 0.500 Pt
```

Computed properties:
The calculation puts the density of states at the Fermi level at 0.2117 states/eV per atom. Its crystal system is tetragonal.


Entry two
# ScCuHPt2

A geometry-optimized ScCuHPt2 structure (PBE, Alexandria).

```
ScCuHPt2
1.0
4.056 0.000 0.000
0.000 4.056 0.000
0.000 0.000 3.983
Sc Cu H Pt
1 1 1 2
direct
0.000 0.000 0.000 Sc
0.500 0.500 0.000 Cu
0.500 0.500 0.500 H
0.000 0.500 0.500 Pt
0.500 0.000 0.500 Pt
```

Computed properties:
The calculation puts the density of states at the Fermi level at 0.4250 states/eV per atom. Its crystal system is tetragonal.


Verdict on stability: entry two comes out at the bottom.


Entry one
# Sr2CuHPt

A geometry-optimized Sr2CuHPt structure (PBE, Alexandria).

```
Sr2CuHPt
1.0
5.383 0.000 0.000
0.000 5.383 0.000
0.000 0.000 3.703
Sr Cu H Pt
2 1 1 1
direct
0.000 0.500 0.000 Sr
0.500 0.000 0.000 Sr
0.000 0.000 0.500 Cu
0.500 0.500 0.000 H
0.500 0.500 0.500 Pt
```

Computed properties:
The calculation puts the density of states at the Fermi level at 0.4456 states/eV per atom. Its crystal system is tetragonal.


Entry two
# Sr2CuHPt

A geometry-optimized Sr2CuHPt structure (PBE, Alexandria).

```
Sr2CuHPt
1.0
5.225 0.000 0.000
0.000 5.225 0.000
0.000 0.000 3.768
Sr Cu H Pt
2 1 1 1
direct
0.000 0.500 0.000 Sr
0.500 0.000 0.000 Sr
0.000 0.000 0.500 Cu
0.000 0.000 0.000 H
0.500 0.500 0.500 Pt
```

Computed properties:
The calculation puts the density of states at the Fermi level at 0.3260 states/eV per atom. Its crystal system is tetragonal.


Verdict on stability: entry two comes out at the bottom.


Entry one
# ZnCu2HPt

A geometry-optimized ZnCu2HPt structure (PBE, Alexandria).

```
ZnCu2HPt
1.0
3.716 0.000 0.000
0.000 3.716 0.000
0.000 0.000 4.067
Zn Cu H Pt
1 2 1 1
direct
0.000 0.000 0.000 Zn
0.000 0.500 0.500 Cu
0.500 0.000 0.500 Cu
0.000 0.000 0.500 H
0.500 0.500 0.000 Pt
```

Computed properties:
The calculation puts the density of states at the Fermi level at 0.2106 states/eV per atom. Its crystal system is tetragonal.


Entry two
# ZnCu2HPt

A geometry-optimized ZnCu2HPt structure (PBE, Alexandria).

```
ZnCu2HPt
1.0
3.846 0.000 0.000
0.000 3.846 0.000
0.000 0.000 3.843
Zn Cu H Pt
1 2 1 1
direct
0.000 0.000 0.000 Zn
0.000 0.500 0.500 Cu
0.500 0.000 0.500 Cu
0.500 0.500 0.500 H
0.500 0.500 0.000 Pt
```

Computed properties:
The calculation puts the density of states at the Fermi level at 0.5312 states/eV per atom. Its crystal system is tetragonal.


Verdict on stability: entry one comes out at the bottom.


Entry one
# Pu2CuH

A geometry-optimized Pu2CuH structure (PBE, Alexandria).

```
Pu2CuH
1.0
3.068 0.000 0.000
0.000 3.068 0.000
0.000 0.000 7.298
Pu Cu H
2 1 1
direct
0.000 0.000 0.217 Pu
0.000 0.000 0.783 Pu
0.500 0.500 0.500 Cu
0.500 0.500 0.000 H
```

Computed properties:
The calculation puts the density of states at the Fermi level at 2.2914 states/eV per atom. Its crystal system is tetragonal.


Entry two
# Pu2CuH

A geometry-optimized Pu2CuH structure (PBE, Alexandria).

```
Pu2CuH
1.0
1.318 0.761 9.258
-1.318 0.761 9.258
0.000 -1.522 9.258
Pu Cu H
2 1 1
direct
0.105 0.105 0.105 Pu
0.895 0.895 0.895 Pu
0.000 0.000 0.000 Cu
0.500 0.500 0.500 H
```

Computed properties:
The calculation puts the density of states at the Fermi level at 1.3383 states/eV per atom. Its crystal system is trigonal.


Verdict on stability: entry two comes out at the bottom.